Computed, not measured: a relaxed structure of Li6MnO2F4 at the PBE with a Hubbard U level of DFT.

Unit cell a=5.4906 b=5.4906 c=11.0419 alpha=77.87 beta=77.87 gamma=99.03
Last column: magnetic moment on the atom in μB.
Fractional coordinates of all 26 atoms:
F1 0.1504 0.6923 0.1486  0.02
F2 0.2748 0.3086 0.5628  0.02
F3 0.6923 0.1504 0.6486  0.02
F4 0.6914 0.7252 0.9372  0.02
F5 0.8496 0.3077 0.8514  0.02
F6 0.3086 0.2748 0.0628  0.02
F7 0.3077 0.8496 0.3514  0.02
F8 0.7252 0.6914 0.4372  0.02
Li1 0.3290 0.6373 0.9885  0.00
Li2 0.3627 0.6710 0.5115  0.00
Li3 0.6841 0.9891 0.3128  0.00
Li4 0.9723 0.4010 0.6668  0.00
Li5 0.4010 0.9723 0.1668  0.00
Li6 0.3159 0.0109 0.6872  0.00
Li7 0.9891 0.6841 0.8128  0.00
Li8 0.6710 0.3627 0.0115  0.00
Li9 0.6373 0.3290 0.4885  0.00
Li10 0.5990 0.0277 0.8332  0.00
Li11 0.0109 0.3159 0.1872  0.00
Li12 0.0277 0.5990 0.3332  0.00
O1 0.2409 0.8914 0.8703  0.01
O2 0.7591 0.1086 0.1297  0.01
O3 0.8914 0.2409 0.3703  0.01
O4 0.1086 0.7591 0.6297  0.01
Mn1 0.0000 0.0000 0.0000  4.61
Mn2 0.0000 0.0000 0.5000  4.61

Computed properties:
electronic total energy = -134.75 eV per cell
calculated density = 2.18 g/cm3
energy above the most stable polymorph in this dataset = 3.2 meV per atom
crystal system = monoclinic